# 1
Below is a relaxed BaBeV3 crystal, with properties calculated at the GGA-PBE level.

## Properties
**Polymorph energy (0 for the lowest one)**: 0.0 meV per atom
**ρ**: 4.81 g/cm3
**M_tot**: 8.7 μB/cell
**Formation energy**: 1.11 eV per atom

a b c (Å): 4.693 4.693 4.693
angles (deg): 90.00 90.00 90.00
Last column: magnetic moment on the atom in μB.
Positions (direct):
Ba1 0.500 0.500 0.500  0.24
V1 0.500 0.000 0.000  2.25
Be1 0.000 0.000 0.000  0.00
V2 0.000 0.500 0.000  2.25
V3 0.000 0.000 0.500  2.25

***

# 2
Below is a relaxed BaZrBeV2 crystal, with properties calculated at the GGA-PBE level.

## Properties
**ρ**: 4.91 g/cm3
**M_tot**: 4.0 μB/cell
**Formation energy**: 2.17 eV per atom

a b c (Å): 4.934 4.717 4.934
angles (deg): 90.00 90.00 90.00
Last column: magnetic moment on the atom in μB.
Positions (direct):
Be1 0.000 0.500 0.000  -0.06
Zr1 0.500 0.500 0.500  0.05
Ba1 0.000 0.000 0.000  0.08
V1 0.500 0.000 0.000  1.88
V2 0.000 0.000 0.500  1.60

***

# 3
Below is a relaxed BaBeW crystal, with properties calculated at the GGA-PBE level.

## Properties
**Polymorph energy (0 for the lowest one)**: 389.8 meV per atom
**ρ**: 8.66 g/cm3
**M_tot**: 0.0 μB/cell
**Formation energy**: 1.32 eV per atom

a b c (Å): 3.213 3.213 7.079
angles (deg): 90.00 90.00 120.00
Positions (direct):
W1 0.333 0.667 0.598
Be1 0.667 0.333 0.385
Ba1 0.000 0.000 0.017